[1]
DFT (PBE) results for an optimized crystal structure of Ac2TbSn4Rh3.

Unit cell a=4.535 b=4.535 c=12.190 alpha=90.00 beta=90.00 gamma=90.00
Element x y z (fractional)
Ac: 0.000 0.500 0.230
Ac: 0.500 0.000 0.770
Tb: 0.000 0.000 0.500
Sn: 0.000 0.000 0.000
Sn: 0.000 0.500 0.661
Sn: 0.500 0.000 0.339
Sn: 0.500 0.500 0.000
Rh: 0.000 0.500 0.879
Rh: 0.500 0.000 0.121
Rh: 0.500 0.500 0.500

* formation enthalpy at 0 K: -0.697 eV per atom
* space group: P-4m2 (115)

***

[2]
DFT (PBE) results for an optimized crystal structure of Be2NiTe.

Unit cell a=3.579 b=3.838 c=4.254 alpha=90.00 beta=90.00 gamma=90.00
Element x y z (fractional)
Be: 0.000 0.000 0.247
Be: 0.000 0.000 0.753
Ni: 0.000 0.500 0.000
Te: 0.500 0.500 0.500

* formation energy from raw total energies: 311 meV per atom
* space group: Pmmm (47)

***

[3]
DFT (PBE) results for an optimized crystal structure of CsZrMo2.

Unit cell a=7.972 b=7.972 c=5.777 alpha=90.00 beta=90.00 gamma=90.00
Element x y z (fractional)
Cs: 0.000 0.000 0.000
Cs: 0.000 0.500 0.250
Cs: 0.500 0.000 0.750
Cs: 0.500 0.500 0.500
Zr: 0.000 0.000 0.500
Zr: 0.000 0.500 0.750
Zr: 0.500 0.000 0.250
Zr: 0.500 0.500 0.000
Mo: 0.229 0.250 0.625
Mo: 0.250 0.729 0.875
Mo: 0.250 0.771 0.375
Mo: 0.271 0.250 0.125
Mo: 0.729 0.750 0.125
Mo: 0.750 0.229 0.375
Mo: 0.750 0.271 0.875
Mo: 0.771 0.750 0.625

* offset from the most stable computed form: 0.274 eV per atom
* formation enthalpy at 0 K: 1.971 eV per atom
* space group: I-42d (122)

***

[4]
DFT (PBE) results for an optimized crystal structure of Zr2NbH2.

Unit cell a=7.169 b=7.169 c=2.866 alpha=90.00 beta=90.00 gamma=90.00
Element x y z (fractional)
Zr: 0.150 0.350 0.000
Zr: 0.350 0.850 0.000
Zr: 0.650 0.150 0.000
Zr: 0.850 0.650 0.000
Nb: 0.000 0.000 0.000
Nb: 0.500 0.500 0.000
H: 0.108 0.608 0.500
H: 0.392 0.108 0.500
H: 0.608 0.892 0.500
H: 0.892 0.392 0.500

* offset from the most stable computed form: 0.734 eV per atom
* space group: P4/mbm (127)

***

Number 1: E_tot -57.9 eV/cell. Number 2: E_tot -15.1 eV/cell. Number 3: E_tot -92.7 eV/cell. Number 4: E_tot -62.7 eV/cell.